(1)
Compound: Li2CdIn
Source: Alexandria
Functional: meta-GGA SCAN
Structure: single point on PBEsol structure

Summary:
volume: 18.42 Å³/atom
size of the total moment: 0.0000 μB/atom
E: -17.54 eV per atom

a = 4.7058 Å, b = 4.7058 Å, c = 4.7058 Å
α = 60.00°, β = 60.00°, γ = 60.00°
Closest atoms and distances in Å follow each position.
Atoms (fractional coordinates):
1 In 0.5000 0.5000 0.5000  4 Cd 2.88, 4 Li 2.88
2 Li 0.0000 0.0000 0.0000  4 Cd 2.88, 4 Li 2.88
3 Li 0.7500 0.7500 0.7500  4 In 2.88, 4 Li 2.88
4 Cd 0.2500 0.2500 0.2500  4 In 2.88, 4 Li 2.88

(2)
Compound: CaPN2O
Source: Alexandria
Functional: meta-GGA SCAN
Structure: single point on PBEsol structure

Summary:
volume: 16.56 Å³/atom
size of the total moment: 0.6000 μB/atom
E: -7.48 eV per atom
uncorrected formation energy: 1.496 eV/atom

a = 4.1683 Å, b = 4.4573 Å, c = 4.4573 Å
α = 90.00°, β = 90.00°, γ = 90.00°
Closest atoms and distances in Å follow each position.
Atoms (fractional coordinates):
1 N 0.0000 0.5000 0.0000  2 Ca 2.23
2 Ca 0.0000 0.0000 0.0000  2 O 2.08, 4 N 2.23
3 P 0.5000 0.5000 0.5000  8 N 3.05, 4 O 3.15
4 O 0.5000 0.0000 0.0000  2 Ca 2.08
5 N 0.0000 0.0000 0.5000  2 Ca 2.23

(3)
Compound: Mn2ReTeF
Source: Alexandria
Functional: meta-GGA SCAN
Structure: single point on PBEsol structure

Summary:
volume: 15.50 Å³/atom
size of the total moment: 1.6885 μB/atom
E: -29.48 eV per atom
uncorrected formation energy: 0.197 eV/atom

a = 3.9500 Å, b = 3.9500 Å, c = 4.9657 Å
α = 90.00°, β = 90.00°, γ = 90.00°
Closest atoms and distances in Å follow each position.
Atoms (fractional coordinates):
1 Mn 0.5000 0.0000 0.0000  2 F 1.97
2 F 0.0000 0.0000 0.0000  4 Mn 1.97
3 Te 0.0000 0.0000 0.5000  2 F 2.48
4 Mn 0.0000 0.5000 0.0000  2 F 1.97
5 Re 0.5000 0.5000 0.5000  4 Te 2.79

(4)
Compound: BeAg2B
Source: Alexandria
Functional: meta-GGA SCAN
Structure: single point on PBEsol structure

Summary:
volume: 11.82 Å³/atom
size of the total moment: 0.0000 μB/atom
E: -17.92 eV per atom

a = 4.0587 Å, b = 4.0587 Å, c = 4.0587 Å
α = 60.00°, β = 60.00°, γ = 60.00°
Closest atoms and distances in Å follow each position.
Atoms (fractional coordinates):
1 B 0.5000 0.5000 0.5000  8 Ag 2.49
2 Ag 0.2500 0.2500 0.2500  4 Be 2.49, 4 B 2.49
3 Be 0.0000 0.0000 0.0000  8 Ag 2.49
4 Ag 0.7500 0.7500 0.7500  4 B 2.49, 4 Be 2.49

Q: size of the total moment of number 2 (CaPN2O)?
A: 0.6000 μB/atom

Q: What is the formula in the first record?
A: Li2CdIn